(1)
A relaxed structure of TbHoTh2Sb5. Source: the Alexandria database, functional GGA-PBE.

Total moment   0.000 μB/f.u.
VASP energy   -5.13 eV per atom
DOS(E_F)   0.61 states/eV/atom

a b c (Å): 5.274 5.274 11.456
angles (deg): 90.00 90.00 90.00
Space group P4/mmm (No. 123)
Asymmetric unit:
Tb  0.000  0.000  0.000
Ho  0.000  0.000  0.500
Th  0.500  0.500  0.200
Sb  0.000  0.000  0.253
Sb  0.000  0.500  0.000
Sb  0.500  0.500  0.500



(2)
A relaxed structure of TbHo3Th2Sb6. Source: the Alexandria database, functional GGA-PBE.

Total moment   0.000 μB/f.u.
VASP energy   -5.88 eV per atom
DOS(E_F)   0.38 states/eV/atom

a b c (Å): 19.256 4.432 8.825
angles (deg): 90.00 103.09 90.00
Space group C2/m (No. 12)
Asymmetric unit:
Tb  0.000  0.000  0.000
Ho  0.000  0.000  0.500
Ho  0.167  0.500  0.834
Th  0.165  0.500  0.331
Sb  0.003  0.500  0.750
Sb  0.165  0.000  0.589
Sb  0.167  0.000  0.076



(3)
A relaxed structure of Tb2HoThSb4. Source: the Alexandria database, functional GGA-PBE.

Total moment   0.000 μB/f.u.
VASP energy   -5.81 eV per atom
DOS(E_F)   0.21 states/eV/atom

a b c (Å): 7.649 4.430 7.658
angles (deg): 90.00 109.49 90.00
Space group P2/m (No. 10)
Asymmetric unit:
Tb  0.000  0.000  0.000
Tb  0.500  0.500  0.000
Ho  0.000  0.500  0.500
Th  0.500  0.000  0.500
Sb  0.244  0.500  0.246
Sb  0.246  0.000  0.751



(4)
A relaxed structure of Tb3HoTh2Sb6. Source: the Alexandria database, functional GGA-PBE.

Total moment   0.000 μB/f.u.
VASP energy   -5.91 eV per atom
DOS(E_F)   0.38 states/eV/atom

a b c (Å): 19.317 4.443 8.854
angles (deg): 90.00 103.22 90.00
Space group C2/m (No. 12)
Asymmetric unit:
Tb  0.000  0.000  0.000
Tb  0.167  0.500  0.334
Ho  0.000  0.000  0.500
Th  0.165  0.500  0.831
Sb  0.003  0.500  0.253
Sb  0.166  0.000  0.088
Sb  0.166  0.000  0.577



(5)
A relaxed structure of TbHoTh2Sb4. Source: the Alexandria database, functional GGA-PBE.

Total moment   0.000 μB/f.u.
VASP energy   -6.09 eV per atom
DOS(E_F)   0.55 states/eV/atom

a b c (Å): 7.664 4.458 7.721
angles (deg): 90.00 109.69 90.00
Space group P2/m (No. 10)
Asymmetric unit:
Tb  0.000  0.000  0.000
Ho  0.000  0.500  0.500
Th  0.500  0.000  0.500
Th  0.500  0.500  0.000
Sb  0.240  0.000  0.746
Sb  0.241  0.500  0.248



(6)
A relaxed structure of TbHoTm2Sb4. Source: the Alexandria database, functional GGA-PBE.

Total moment   0.000 μB/f.u.
VASP energy   -5.43 eV per atom
DOS(E_F)   0.15 states/eV/atom

a b c (Å): 6.163 6.163 12.340
angles (deg): 90.00 90.00 90.00
Space group I4/mmm (No. 139)
Asymmetric unit:
Tb  0.000  0.000  0.000
Ho  0.000  0.000  0.500
Tm  0.000  0.500  0.250
Sb  0.000  0.000  0.251
Sb  0.000  0.500  0.000



(7)
A relaxed structure of Tb3Ho2TmSb6. Source: the Alexandria database, functional GGA-PBE.

Total moment   0.000 μB/f.u.
VASP energy   -5.48 eV per atom
DOS(E_F)   0.16 states/eV/atom

a b c (Å): 19.082 4.379 8.757
angles (deg): 90.00 103.20 90.00
Space group C2/m (No. 12)
Asymmetric unit:
Tb  0.000  0.000  0.000
Tb  0.167  0.500  0.333
Ho  0.166  0.500  0.833
Tm  0.000  0.000  0.500
Sb  0.000  0.500  0.253
Sb  0.165  0.000  0.584
Sb  0.167  0.000  0.082



(8)
A relaxed structure of TbY2Ho3Sb6. Source: the Alexandria database, functional GGA-PBE.

Total moment   0.000 μB/f.u.
VASP energy   -5.81 eV per atom
DOS(E_F)   0.16 states/eV/atom

a b c (Å): 19.097 4.381 8.763
angles (deg): 90.00 103.21 90.00
Space group C2/m (No. 12)
Asymmetric unit:
Tb  0.000  0.000  0.000
Y  0.167  0.500  0.333
Ho  0.000  0.000  0.500
Ho  0.167  0.500  0.833
Sb  0.000  0.500  0.251
Sb  0.166  0.000  0.584
Sb  0.167  0.000  0.082



(9)
A relaxed structure of Tb2YHo3Sb6. Source: the Alexandria database, functional GGA-PBE.

Total moment   0.000 μB/f.u.
VASP energy   -5.65 eV per atom
DOS(E_F)   0.16 states/eV/atom

a b c (Å): 19.105 4.383 8.767
angles (deg): 90.00 103.20 90.00
Space group C2/m (No. 12)
Asymmetric unit:
Tb  0.167  0.000  0.333
Y  0.000  0.500  0.000
Ho  0.000  0.500  0.500
Ho  0.167  0.000  0.833
Sb  0.001  0.000  0.749
Sb  0.166  0.500  0.584
Sb  0.167  0.500  0.082



(10)
A relaxed structure of Ho6TcSb2. Source: the Alexandria database, functional GGA-PBE.

Total moment   0.000 μB/f.u.
VASP energy   -5.74 eV per atom
DOS(E_F)   0.60 states/eV/atom

a b c (Å): 8.1498 8.1498 4.2452
angles (deg): 90.00 90.00 120.00
Space group P-62m (No. 189)
Asymmetric unit:
Ho  0.0000  0.2363  0.0000
Ho  0.0000  0.6032  0.5000
Tc  0.0000  0.0000  0.5000
Sb  0.3333  0.6667  0.0000



(11)
A relaxed structure of Ho4SbTe3. Source: the Alexandria database, functional GGA-PBE.

Total moment   0.000 μB/f.u.
VASP energy   -5.23 eV per atom
DOS(E_F)   0.43 states/eV/atom

a b c (Å): 8.709 12.286 4.339
angles (deg): 90.00 90.00 90.00
Space group Cmmm (No. 65)
Asymmetric unit:
Ho  0.000  0.245  0.000
Ho  0.241  0.000  0.500
Sb  0.000  0.000  0.000
Te  0.000  0.500  0.000
Te  0.250  0.250  0.500



(12)
A relaxed structure of Ho6Sb5Te. Source: the Alexandria database, functional GGA-PBE.

Total moment   0.000 μB/f.u.
VASP energy   -5.44 eV per atom
DOS(E_F)   0.24 states/eV/atom

a b c (Å): 7.558 13.082 7.557
angles (deg): 90.00 109.46 90.00
Space group C2/m (No. 12)
Asymmetric unit:
Ho  0.245  0.000  0.252
Ho  0.246  0.169  0.746
Sb  0.000  0.000  0.500
Sb  0.000  0.167  0.000
Sb  0.000  0.336  0.500
Te  0.000  0.500  0.000



(13)
A relaxed structure of Ho2SbTe6. Source: the Alexandria database, functional GGA-PBE.

Total moment   0.000 μB/f.u.
VASP energy   -4.10 eV per atom
DOS(E_F)   1.26 states/eV/atom

a b c (Å): 7.130 7.130 13.393
angles (deg): 90.00 90.00 90.00
Space group P4_2/mnm (No. 136)
Asymmetric unit:
Ho  0.000  0.000  0.161
Sb  0.000  0.000  0.500
Te  0.198  0.198  0.330
Te  0.205  0.205  0.000



(14)
A relaxed structure of Ho2SbTe. Source: the Alexandria database, functional GGA-PBE.

Total moment   0.000 μB/f.u.
DOS(E_F)   0.80 states/eV/atom
Offset from the most stable computed form   18 kJ/mol of formula units

a b c (Å): 4.2671 4.2671 22.5254
angles (deg): 90.00 90.00 120.00
Space group R3m (No. 160, hexagonal axes)
Asymmetric unit:
Ho  0.0000  0.0000  0.0000
Ho  0.0000  0.0000  0.1783
Sb  0.0000  0.0000  0.5908
Te  0.0000  0.0000  0.4215



(15)
A relaxed structure of Ho3SbTe2. Source: the Alexandria database, functional GGA-PBE.

Total moment   0.000 μB/f.u.
DOS(E_F)   0.43 states/eV/atom
Offset from the most stable computed form   0 kJ/mol of formula units

a b c (Å): 4.336 6.134 13.110
angles (deg): 90.00 90.00 90.00
Space group Immm (No. 71)
Asymmetric unit:
Ho  0.000  0.000  0.000
Ho  0.000  0.000  0.340
Sb  0.000  0.500  0.000
Te  0.000  0.500  0.331



(16)
A relaxed structure of Ho4Sb3Te. Source: the Alexandria database, functional GGA-PBE.

Total moment   0.000 μB/f.u.
DOS(E_F)   0.32 states/eV/atom
Offset from the most stable computed form   0 kJ/mol of formula units

a b c (Å): 4.361 6.167 8.724
angles (deg): 90.00 90.00 90.00
Space group Pmmm (No. 47)
Asymmetric unit:
Ho  0.000  0.000  0.000
Ho  0.000  0.000  0.500
Ho  0.500  0.500  0.242
Sb  0.000  0.500  0.000
Sb  0.500  0.000  0.252
Te  0.000  0.500  0.500



(17)
A relaxed structure of Ho5SbTe5. Source: the Alexandria database, functional GGA-PBE.

Total moment   0.000 μB/f.u.
VASP energy   -5.22 eV per atom
DOS(E_F)   0.35 states/eV/atom

a b c (Å): 13.649 6.150 8.637
angles (deg): 90.00 108.44 90.00
Space group C2/m (No. 12)
Asymmetric unit:
Ho  0.000  0.000  0.000
Ho  0.163  0.500  0.332
Ho  0.164  0.500  0.832
Sb  0.000  0.500  0.000
Te  0.000  0.500  0.500
Te  0.164  0.000  0.337
Te  0.165  0.000  0.828



(18)
A relaxed structure of Ho10Sb3Te3. Source: the Alexandria database, functional GGA-PBE.

Total moment   0.000 μB/f.u.
VASP energy   -5.14 eV per atom
DOS(E_F)   0.58 states/eV/atom

a b c (Å): 8.9675 8.9675 6.1716
angles (deg): 90.00 90.00 120.00
Space group P-62m (No. 189)
Asymmetric unit:
Ho  0.0000  0.2512  0.0000
Ho  0.0000  0.7489  0.5000
Ho  0.3333  0.6667  0.2481
Sb  0.0000  0.6128  0.0000
Te  0.0000  0.3864  0.5000



(19)
A relaxed structure of HoSbTe3. Source: the Alexandria database, functional GGA-PBE.

Total moment   0.000 μB/f.u.
Offset from the most stable computed form   27 kJ/mol of formula units

a b c (Å): 7.7449 7.7449 20.8628
angles (deg): 90.00 90.00 120.00
Space group R-3 (No. 148, hexagonal axes)
Asymmetric unit:
Ho  0.0000  0.0000  0.1528
Sb  0.0000  0.0000  0.3394
Te  0.0047  0.3094  0.2477



(20)
A relaxed structure of Ho5Sb2Te2. Source: the Alexandria database, functional GGA-PBE.

Total moment   0.000 μB/f.u.
VASP energy   -5.20 eV per atom
DOS(E_F)   0.82 states/eV/atom

a b c (Å): 15.324 8.023 8.045
angles (deg): 90.00 90.00 90.00
Space group Cmce (No. 64)
Asymmetric unit:
Ho  0.000  0.000  0.000
Ho  0.135  0.158  0.342
Sb  0.000  0.145  0.643
Te  0.200  0.000  0.000